[1]
Entry from Alexandria via LeMat-Bulk: crystalline Y4Tm3Th2 at its relaxed geometry (PBE-GGA).

Output
Calculated density: 7.7 Mg/m³
E above lowest polymorph: 0.05 eV/f.u.

a = 16.288 Å, b = 5.757 Å, c = 6.388 Å
α = 90.00°, β = 106.96°, γ = 90.00°
Space group C2/m (No. 12)
Asymmetric unit:
Y 0.059 0.000 0.280 (multiplicity 4)
Y 0.212 0.500 0.577 (multiplicity 4)
Tm 0.000 0.500 0.500 (multiplicity 2)
Tm 0.104 0.500 0.025 (multiplicity 4)
Th 0.176 0.000 0.861 (multiplicity 4)



[2]
Entry from Alexandria via LeMat-Bulk: crystalline Y5Tm4Th at its relaxed geometry (PBE-GGA).

Output
Calculated density: 6.9 Mg/m³
E above lowest polymorph: 3.07 eV/f.u.

a = 10.137 Å, b = 10.137 Å, c = 6.363 Å
α = 90.00°, β = 90.00°, γ = 90.00°
Space group I4 (No. 79)
Asymmetric unit:
Y 0.000 0.000 0.000 (multiplicity 2)
Y 0.144 0.236 0.737 (multiplicity 8)
Tm 0.052 0.349 0.239 (multiplicity 8)
Th 0.000 0.000 0.463 (multiplicity 2)



[3]
Entry from Alexandria via LeMat-Bulk: crystalline Y3Tm6Th2 at its relaxed geometry (PBE-GGA).

Output
Calculated density: 8.0 Mg/m³
DFT total energy: -5.332 eV per atom

a = 6.072 Å, b = 10.530 Å, c = 11.485 Å
α = 90.00°, β = 100.28°, γ = 90.00°
Space group C2/m (No. 12)
Asymmetric unit:
Y 0.000 0.000 0.000 (multiplicity 2)
Y 0.000 0.335 0.000 (multiplicity 4)
Tm 0.248 0.000 0.746 (multiplicity 4)
Tm 0.249 0.333 0.746 (multiplicity 8)
Th 0.000 0.166 0.500 (multiplicity 4)



[4]
Entry from Alexandria via LeMat-Bulk: crystalline YTm6Th2 at its relaxed geometry (PBE-GGA).

Output
Calculated density: 9.3 Mg/m³
E above lowest polymorph: 0.24 eV/f.u.

a = 11.702 Å, b = 5.574 Å, c = 8.808 Å
α = 90.00°, β = 103.20°, γ = 90.00°
Space group C2/m (No. 12)
Asymmetric unit:
Y 0.000 0.000 0.000 (multiplicity 2)
Tm 0.122 0.000 0.621 (multiplicity 4)
Tm 0.186 0.500 0.037 (multiplicity 4)
Tm 0.237 0.000 0.304 (multiplicity 4)
Th 0.049 0.500 0.326 (multiplicity 4)



[5]
Entry from Alexandria via LeMat-Bulk: crystalline Y2TmTh2 at its relaxed geometry (PBE-GGA).

Output
Calculated density: 8.4 Mg/m³
E above lowest polymorph: 0.00 eV/f.u.

a = 3.492 Å, b = 5.803 Å, c = 15.875 Å
α = 90.00°, β = 90.00°, γ = 90.00°
Space group Immm (No. 71)
Asymmetric unit:
Y 0.000 0.000 0.101 (multiplicity 4)
Tm 0.000 0.000 0.500 (multiplicity 2)
Th 0.000 0.500 0.211 (multiplicity 4)



[6]
Entry from Alexandria via LeMat-Bulk: crystalline YTm3Th5 at its relaxed geometry (PBE-GGA).

Output
Calculated density: 9.8 Mg/m³
DFT total energy: -5.879 eV per atom

a = 9.163 Å, b = 9.163 Å, c = 14.226 Å
α = 90.00°, β = 90.00°, γ = 90.00°
Space group I4/mcm (No. 140)
Asymmetric unit:
Y 0.000 0.500 0.250 (multiplicity 4)
Tm 0.000 0.000 0.250 (multiplicity 4)
Tm 0.104 0.396 0.000 (multiplicity 8)
Th 0.000 0.000 0.000 (multiplicity 4)
Th 0.207 0.293 0.374 (multiplicity 16)



[7]
Entry from Alexandria via LeMat-Bulk: crystalline Y2Tm9Th at its relaxed geometry (PBE-GGA).

Output
Calculated density: 8.7 Mg/m³
DFT total energy: -5.018 eV per atom

a = 4.972 Å, b = 4.972 Å, c = 14.884 Å
α = 90.00°, β = 90.00°, γ = 90.00°
Space group P4/mmm (No. 123)
Asymmetric unit:
Y 0.000 0.000 0.167 (multiplicity 2)
Tm 0.000 0.500 0.000 (multiplicity 2)
Tm 0.000 0.500 0.335 (multiplicity 4)
Tm 0.500 0.500 0.165 (multiplicity 2)
Tm 0.500 0.500 0.500 (multiplicity 1)
Th 0.000 0.000 0.500 (multiplicity 1)



[8]
Entry from Alexandria via LeMat-Bulk: crystalline Y7Tm2Th2 at its relaxed geometry (PBE-GGA).

Output
Calculated density: 6.6 Mg/m³
E above lowest polymorph: 0.20 eV/f.u.

a = 11.138 Å, b = 11.441 Å, c = 6.092 Å
α = 90.00°, β = 112.59°, γ = 90.00°
Space group C2/m (No. 12)
Asymmetric unit:
Y 0.000 0.000 0.000 (multiplicity 2)
Y 0.176 0.236 0.175 (multiplicity 8)
Y 0.230 0.000 0.588 (multiplicity 4)
Tm 0.000 0.221 0.500 (multiplicity 4)
Th 0.077 0.500 0.802 (multiplicity 4)



[9]
Entry from Alexandria via LeMat-Bulk: crystalline Y6Tm2Th3 at its relaxed geometry (PBE-GGA).

Output
Calculated density: 7.0 Mg/m³
DFT total energy: -6.186 eV per atom

a = 6.189 Å, b = 10.737 Å, c = 11.200 Å
α = 90.00°, β = 90.14°, γ = 90.00°
Space group C2/m (No. 12)
Asymmetric unit:
Y 0.164 0.165 0.250 (multiplicity 8)
Y 0.168 0.500 0.250 (multiplicity 4)
Tm 0.000 0.334 0.000 (multiplicity 4)
Th 0.000 0.000 0.500 (multiplicity 2)
Th 0.000 0.333 0.500 (multiplicity 4)



[10]
Entry from Alexandria via LeMat-Bulk: crystalline Y3TmTh3 at its relaxed geometry (PBE-GGA).

Output
Calculated density: 8.0 Mg/m³
DFT total energy: -6.309 eV per atom

a = 8.5367 Å, b = 8.5367 Å, c = 22.3218 Å
α = 90.00°, β = 90.00°, γ = 120.00°
Space group R-3 (No. 148, hexagonal axes)
Asymmetric unit:
Y 0.0178 0.2432 0.0583 (multiplicity 18)
Tm 0.0000 0.0000 0.3383 (multiplicity 6)
Th 0.0609 0.2714 0.2093 (multiplicity 18)



[11]
Entry from Alexandria via LeMat-Bulk: crystalline YTm3Th7 at its relaxed geometry (PBE-GGA).

Output
Calculated density: 10.0 Mg/m³
DFT total energy: -6.166 eV per atom

a = 12.719 Å, b = 11.134 Å, c = 5.861 Å
α = 90.00°, β = 117.22°, γ = 90.00°
Space group C2/m (No. 12)
Asymmetric unit:
Y 0.000 0.000 0.000 (multiplicity 2)
Tm 0.000 0.297 0.500 (multiplicity 4)
Tm 0.000 0.500 0.000 (multiplicity 2)
Th 0.000 0.000 0.500 (multiplicity 2)
Th 0.199 0.296 0.199 (multiplicity 8)
Th 0.211 0.500 0.711 (multiplicity 4)



[12]
Entry from Alexandria via LeMat-Bulk: crystalline Y5Tm4Th2 at its relaxed geometry (PBE-GGA).

Output
Calculated density: 7.5 Mg/m³
E above lowest polymorph: 0.00 eV/f.u.

a = 17.447 Å, b = 3.494 Å, c = 11.506 Å
α = 90.00°, β = 94.14°, γ = 90.00°
Space group C2/m (No. 12)
Asymmetric unit:
Y 0.000 0.000 0.000 (multiplicity 2)
Y 0.097 0.500 0.534 (multiplicity 4)
Y 0.177 0.500 0.070 (multiplicity 4)
Tm 0.033 0.500 0.256 (multiplicity 4)
Tm 0.141 0.000 0.795 (multiplicity 4)
Th 0.218 0.000 0.358 (multiplicity 4)



[13]
Entry from Alexandria via LeMat-Bulk: crystalline Y7Tm3Th at its relaxed geometry (PBE-GGA).

Output
Calculated density: 6.3 Mg/m³
E above lowest polymorph: 0.00 eV/f.u.

a = 6.888 Å, b = 18.571 Å, c = 11.191 Å
α = 90.00°, β = 90.89°, γ = 90.00°
Space group C2/m (No. 12)
Asymmetric unit:
Y 0.248 0.161 0.468 (multiplicity 8)
Y 0.249 0.089 0.750 (multiplicity 8)
Y 0.249 0.339 0.968 (multiplicity 8)
Y 0.249 0.500 0.750 (multiplicity 4)
Tm 0.000 0.000 0.000 (multiplicity 2)
Tm 0.000 0.250 0.250 (multiplicity 8)
Tm 0.000 0.500 0.500 (multiplicity 2)
Th 0.000 0.000 0.500 (multiplicity 2)
Th 0.000 0.500 0.000 (multiplicity 2)



[14]
Entry from Alexandria via LeMat-Bulk: crystalline Y3TmTh5 at its relaxed geometry (PBE-GGA).

Output
Calculated density: 8.8 Mg/m³
DFT total energy: -6.304 eV per atom

a = 9.256 Å, b = 9.256 Å, c = 14.116 Å
α = 90.00°, β = 90.00°, γ = 90.00°
Space group I4/mcm (No. 140)
Asymmetric unit:
Y 0.000 0.000 0.250 (multiplicity 4)
Y 0.104 0.396 0.000 (multiplicity 8)
Tm 0.000 0.500 0.250 (multiplicity 4)
Th 0.000 0.000 0.000 (multiplicity 4)
Th 0.209 0.291 0.372 (multiplicity 16)



[15]
Entry from Alexandria via LeMat-Bulk: crystalline YTm6Th4 at its relaxed geometry (PBE-GGA).

Output
Calculated density: 8.6 Mg/m³
E above lowest polymorph: 3.98 eV/f.u.

a = 7.837 Å, b = 7.837 Å, c = 12.821 Å
α = 90.00°, β = 90.00°, γ = 90.00°
Space group I-42m (No. 121)
Asymmetric unit:
Y 0.000 0.000 0.000 (multiplicity 2)
Tm 0.000 0.500 0.000 (multiplicity 4)
Tm 0.245 0.245 0.679 (multiplicity 8)
Th 0.167 0.167 0.425 (multiplicity 8)



[16]
Entry from Alexandria via LeMat-Bulk: crystalline YTm5Th4 at its relaxed geometry (PBE-GGA).

Output
Calculated density: 9.5 Mg/m³
E above lowest polymorph: 2.06 eV/f.u.

a = 3.450 Å, b = 9.071 Å, c = 10.645 Å
α = 95.09°, β = 90.06°, γ = 100.88°
Space group P-1 (No. 2)
Asymmetric unit:
Y 0.000 0.000 0.000 (multiplicity 1)
Tm 0.000 0.000 0.500 (multiplicity 1)
Tm 0.312 0.624 0.409 (multiplicity 2)
Tm 0.349 0.701 0.757 (multiplicity 2)
Th 0.184 0.366 0.914 (multiplicity 2)
Th 0.461 0.923 0.249 (multiplicity 2)



[17]
Entry from Alexandria via LeMat-Bulk: crystalline YTm2Th5 at its relaxed geometry (PBE-GGA).

Output
Calculated density: 10.3 Mg/m³
DFT total energy: -6.516 eV per atom

a = 7.120 Å, b = 14.270 Å, c = 5.022 Å
α = 90.00°, β = 90.00°, γ = 90.00°
Space group Pbam (No. 55)
Asymmetric unit:
Y 0.000 0.000 0.000 (multiplicity 2)
Tm 0.250 0.126 0.500 (multiplicity 4)
Th 0.000 0.500 0.000 (multiplicity 2)
Th 0.001 0.749 0.000 (multiplicity 4)
Th 0.245 0.373 0.500 (multiplicity 4)



[18]
Entry from Alexandria via LeMat-Bulk: crystalline YTm2Th at its relaxed geometry (PBE-GGA).

Output
Calculated density: 8.6 Mg/m³
E above lowest polymorph: 0.07 eV/f.u.

a = 12.938 Å, b = 3.588 Å, c = 12.404 Å
α = 90.00°, β = 118.47°, γ = 90.00°
Space group C2/m (No. 12)
Asymmetric unit:
Y 0.125 0.000 0.479 (multiplicity 4)
Tm 0.124 0.500 0.732 (multiplicity 4)
Tm 0.129 0.500 0.228 (multiplicity 4)
Th 0.123 0.000 0.975 (multiplicity 4)



[19]
Entry from Alexandria via LeMat-Bulk: crystalline Y3Tm6Th at its relaxed geometry (PBE-GGA).

Output
Calculated density: 8.0 Mg/m³
E above lowest polymorph: 0.00 eV/f.u.

a = 9.361 Å, b = 15.118 Å, c = 8.921 Å
α = 90.00°, β = 90.00°, γ = 90.00°
Space group Cmc2_1 (No. 36)
Asymmetric unit:
Y 0.000 0.048 0.000 (multiplicity 4)
Y 0.174 0.354 0.510 (multiplicity 8)
Tm 0.000 0.213 0.739 (multiplicity 4)
Tm 0.000 0.444 0.871 (multiplicity 4)
Tm 0.180 0.148 0.354 (multiplicity 8)
Tm 0.238 0.441 0.182 (multiplicity 8)
Th 0.000 0.275 0.103 (multiplicity 4)



[20]
Entry from Alexandria via LeMat-Bulk: crystalline YTm8Th6 at its relaxed geometry (PBE-GGA).

Output
Calculated density: 9.9 Mg/m³
DFT total energy: -5.632 eV per atom

a = 8.7864 Å, b = 8.7864 Å, c = 21.2438 Å
α = 90.00°, β = 90.00°, γ = 120.00°
Space group R-3 (No. 148, hexagonal axes)
Asymmetric unit:
Y 0.0000 0.0000 0.0000 (multiplicity 3)
Tm 0.0000 0.0000 0.4208 (multiplicity 6)
Tm 0.0634 0.8095 0.1338 (multiplicity 18)
Th 0.0250 0.2423 0.7097 (multiplicity 18)